First-principles (PBE with a Hubbard U) data for Zn2CrNiF after structural relaxation, as listed in Alexandria via LeMat-Bulk.

Cell lengths 4.791, 4.791, 3.797 Å; angles 90.00, 90.00, 90.00 degrees
Space group P4/mmm (No. 123)
Unique sites:
Zn1 0.000 0.500 0.000 [2 per cell]
Cr1 0.000 0.000 0.500 [1 per cell]
Ni1 0.500 0.500 0.000 [1 per cell]
F1 0.500 0.500 0.500 [1 per cell]

VASP energy: -14.46 eV/cell
Fermi-level density of states: 1.6 states/eV/cell